Entry 1:
! BeAlAg3 (GGA-PBE, relaxed); values from VASP
&SYSTEM
  ibrav = 0, nat = 5, ntyp = 3
/
ATOMIC_SPECIES
Be 9.01 Be.upf
Ag 107.87 Ag.upf
Al 26.98 Al.upf
ATOMIC_POSITIONS crystal
Be 0.000 0.000 0.000
Ag 0.000 0.500 0.000
Ag 0.500 0.000 0.000
Ag 0.000 0.000 0.500
Al 0.500 0.500 0.500
CELL_PARAMETERS angstrom
-1.259 1.611 3.958
-4.267 -0.266 -1.250
-0.216 -4.145 1.619
! Offset from the most stable computed form   0 meV per atom
! Calculated total energy   -14.0 eV/f.u.
! Crystal system   cubic
! Formation energy from the elements   0.41 eV per atom

***

Entry 2:
! BeAl2Ag (GGA-PBE, relaxed); values from VASP
&SYSTEM
  ibrav = 0, nat = 4, ntyp = 3
/
ATOMIC_SPECIES
Ag 107.87 Ag.upf
Al 26.98 Al.upf
Be 9.01 Be.upf
ATOMIC_POSITIONS crystal
Ag 0.492 0.492 0.523
Al 0.274 0.274 0.177
Al 0.058 0.058 0.826
Be 0.675 0.675 0.974
CELL_PARAMETERS angstrom
4.063 0.000 0.000
2.031 3.518 0.000
2.031 1.173 4.451
! Calculated total energy   -13.5 eV/f.u.
! Crystal system   trigonal
! Formation energy from the elements   0.15 eV per atom